Record 1
Crystalline KOs3Au at its relaxed geometry. Source: the Alexandria database, functional PBEsol.

Offset from the most stable computed form ... 5.01 eV/f.u.
Raw total energy ... -4.44 eV per atom
Energy relative to the elements ... 19.494 eV per formula unit
Total moment ... 0.42 μB per atom
SG ... Pm-3m, No. 221
Crystal system ... cubic

The structure in POSCAR format:
```
KOs3Au
1.0
-2.639 3.617 -0.104
-2.939 -2.068 2.673
2.111 1.643 3.592
Os K Au
3 1 1
Cartesian
-1.470 -1.034 1.337
1.056 0.822 1.796
-1.320 1.809 -0.052
0.000 0.000 0.000
-1.734 1.596 3.081
```

Record 2
Crystalline KOs3Au at its relaxed geometry. Source: the Alexandria database, functional PBEsol.

Offset from the most stable computed form ... 0.00 eV/f.u.
Raw total energy ... -5.44 eV per atom
Energy relative to the elements ... 14.481 eV per formula unit
Total moment ... 1.26 μB per atom
SG ... Pm-3m, No. 221
Crystal system ... cubic

The structure in POSCAR format:
```
KOs3Au
1.0
4.931 0.000 0.000
0.000 4.931 0.000
0.000 0.000 4.931
Os K Au
3 1 1
Cartesian
0.000 2.466 0.000
0.000 0.000 2.466
2.466 0.000 0.000
2.466 2.466 2.466
0.000 0.000 0.000
```

Record 3
Crystalline KOsAu2 at its relaxed geometry. Source: the Alexandria database, functional PBEsol.

Offset from the most stable computed form ... 0.31 eV/f.u.
Raw total energy ... -4.67 eV per atom
Energy relative to the elements ... 2.532 eV per formula unit
Total moment ... 0.00 μB per atom
SG ... C2/m, No. 12
Crystal system ... monoclinic

The structure in POSCAR format:
```
KOsAu2
1.0
2.679 0.000 0.000
-1.339 4.428 0.011
0.000 -0.610 7.026
Au K Os
2 1 1
Cartesian
1.339 1.816 5.756
0.000 2.003 1.281
0.000 -0.305 3.513
1.339 0.000 0.000
```

Record 4
Crystalline KOsAu at its relaxed geometry. Source: the Alexandria database, functional PBEsol.

Raw total energy ... -4.67 eV per atom
Energy relative to the elements ... 3.268 eV per formula unit
Total moment ... 0.00 μB per atom
SG ... I4mm, No. 107
Crystal system ... tetragonal

The structure in POSCAR format:
```
KOsAu
1.0
3.451 0.000 0.000
0.000 3.451 0.000
-1.726 -1.726 5.928
Au K Os
1 1 1
Cartesian
1.726 1.726 5.344
1.726 1.726 1.954
0.000 0.000 4.557
```

Record 5
Crystalline KOsAu2 at its relaxed geometry. Source: the Alexandria database, functional PBEsol.

Offset from the most stable computed form ... 0.00 eV/f.u.
Raw total energy ... -4.74 eV per atom
Energy relative to the elements ... 2.218 eV per formula unit
Total moment ... 0.00 μB per atom
SG ... P4/mmm, No. 123
Crystal system ... tetragonal

The structure in POSCAR format:
```
KOsAu2
1.0
2.677 0.000 0.000
0.000 5.177 0.000
0.000 0.000 5.177
Au K Os
2 1 1
Cartesian
0.000 0.000 0.645
0.000 2.588 3.238
1.338 0.000 3.233
1.338 2.588 0.648
```

Record 6
Crystalline KOsAu2 at its relaxed geometry. Source: the Alexandria database, functional PBEsol.

Offset from the most stable computed form ... 0.51 eV/f.u.
Raw total energy ... -4.62 eV per atom
Energy relative to the elements ... 2.725 eV per formula unit
Total moment ... 0.00 μB per atom
SG ... Pmm2, No. 25
Crystal system ... orthorhombic

The structure in POSCAR format:
```
KOsAu2
1.0
2.647 0.000 0.000
0.000 4.633 0.000
0.000 0.000 7.071
Au K Os
2 1 1
Cartesian
0.000 0.000 6.516
1.324 2.316 1.613
0.000 0.000 3.474
1.324 2.316 6.075
```

Record 7
Crystalline KPAu2 at its relaxed geometry. Source: the Alexandria database, functional PBEsol.

Raw total energy ... -3.34 eV per atom
Energy relative to the elements ... 1.431 eV per formula unit
Total moment ... 0.00 μB per atom
SG ... I-4m2, No. 119
Crystal system ... tetragonal

The structure in POSCAR format:
```
KPAu2
1.0
4.397 0.000 0.000
-2.199 4.569 -0.025
0.000 2.137 3.843
Au K P
2 1 1
Cartesian
0.000 0.000 0.000
0.000 2.819 0.948
2.199 1.068 1.921
2.199 3.887 2.870
```

Record 8
Crystalline K3PAu5 at its relaxed geometry. Source: the Alexandria database, functional PBEsol.

Raw total energy ... -3.48 eV per atom
Energy relative to the elements ... -2.534 eV per formula unit
Total moment ... 0.00 μB per atom
SG ... Imma, No. 74
Crystal system ... orthorhombic

The structure in POSCAR format:
```
K3PAu5
1.0
-0.144 1.844 -5.335
-0.150 -7.684 -2.651
-8.874 3.003 4.265
Au K P
10 6 2
Cartesian
-6.355 -2.722 -3.758
-2.955 -2.754 -3.860
-6.213 -0.083 0.139
-2.814 -0.115 0.036
-7.709 -1.390 -1.767
-1.531 -0.525 -4.622
-1.459 -1.447 -1.955
-7.637 -2.312 0.901
0.000 0.000 0.000
-0.147 -2.920 -3.993
-7.487 1.976 -2.103
-1.790 -5.761 -4.931
-7.378 2.924 1.209
-1.682 -4.813 -1.618
-4.598 0.159 -2.809
-4.570 -2.996 -0.912
-4.684 -4.233 -4.325
-4.484 1.396 0.603
```

> Which value of total moment does entry 6 give?

0.00 μB per atom